Record 1
A geometry-optimized MnGeRh2 structure. Source: Alexandria via LeMat-Bulk, functional PBE.

Properties
Energy of formation, eV per formula unit: -1.57
Magnetization, μB/cell: 4.54
VASP energy, eV/atom: -7.515
Space-group type: P4/mmm (123)
Calculated volume, A^3/atom: 14.155

Geometry as POSCAR:
```
MnGeRh2
1.0
4.141 0.000 0.000
0.000 4.141 0.000
0.000 0.000 3.302
Mn Ge Rh
1 1 2
direct
0.000 0.000 0.000
0.500 0.500 0.000
0.000 0.500 0.500
0.500 0.000 0.500
```

***

Record 2
A geometry-optimized AcTlCd structure. Source: Alexandria via LeMat-Bulk, functional PBE.

Properties
Energy of formation, eV per formula unit: -0.99
Magnetization, μB/cell: 0.00
VASP energy, eV/atom: -2.794
Space-group type: P-6m2 (187)
ΔE to the lowest computed polymorph, eV per atom: 0.0133
Calculated volume, A^3/atom: 31.104

Geometry as POSCAR:
```
AcTlCd
1.0
5.189 0.000 0.000
-2.594 4.494 0.000
0.000 0.000 4.002
Ac Tl Cd
1 1 1
direct
0.000 0.000 0.000
0.333 0.667 0.500
0.667 0.333 0.500
```

***

Record 3
A geometry-optimized LiCa7 structure. Source: Alexandria via LeMat-Bulk, functional PBE.

Properties
Energy of formation, eV per formula unit: 0.29
Magnetization, μB/cell: 0.00
VASP energy, eV/atom: -1.954
Space-group type: I4/mmm (139)
Calculated volume, A^3/atom: 39.713

Geometry as POSCAR:
```
LiCa7
1.0
-2.707 2.707 10.841
2.707 -2.707 10.841
2.707 2.707 -10.841
Li Ca
1 7
direct
0.000 0.000 0.000
0.120 0.620 0.500
0.252 0.252 0.000
0.380 0.880 0.500
0.500 0.500 0.000
0.620 0.120 0.500
0.748 0.748 0.000
0.880 0.380 0.500
```

***

Record 4
A geometry-optimized Pm7DyEr4 structure. Source: Alexandria via LeMat-Bulk, functional PBE.

Properties
Energy of formation, eV per formula unit: 0.03
Magnetization, μB/cell: 0.00
VASP energy, eV/atom: -4.673
Space-group type: P-1 (2)
ΔE to the lowest computed polymorph, eV per atom: 0.0000
Calculated volume, A^3/atom: 32.882

Geometry as POSCAR:
```
Pm7DyEr4
1.0
6.280 0.000 0.000
0.006 7.240 0.000
2.089 -0.001 8.678
Pm Dy Er
7 1 4
direct
0.000 0.000 0.000
0.221 0.500 0.335
0.280 0.751 0.665
0.499 0.247 0.999
0.501 0.753 0.001
0.720 0.249 0.335
0.779 0.500 0.665
0.000 0.500 0.000
0.220 0.000 0.336
0.278 0.247 0.667
0.722 0.753 0.333
0.780 0.000 0.664
```

***

Record 5
A geometry-optimized NaPdO2 structure. Source: Alexandria via LeMat-Bulk, functional PBE.

Properties
Magnetization, μB/cell: 0.00
Formation energy without anion corrections, eV per atom: -0.58
VASP energy, eV/atom: -4.685
Space-group type: I-42d (122)
Calculated volume, A^3/atom: 15.468

Geometry as POSCAR:
```
NaPdO2
1.0
-2.390 2.390 5.415
2.390 -2.390 5.415
2.390 2.390 -5.415
Na Pd O
2 2 4
direct
0.000 0.000 0.000
0.750 0.250 0.500
0.250 0.750 0.500
0.500 0.500 0.000
0.188 0.625 0.063
0.375 0.438 0.563
0.562 0.125 0.937
0.875 0.812 0.437
```

***

Record 6
A geometry-optimized KPuBi2O6 structure. Source: Alexandria via LeMat-Bulk, functional PBE.

Properties
Magnetization, μB/cell: 3.00
Formation energy without anion corrections, eV per atom: -1.82
VASP energy, eV/atom: -7.112
Space-group type: R3 (146)
Calculated volume, A^3/atom: 17.595

Geometry as POSCAR:
```
KPuBi2O6
1.0
3.031 1.750 5.527
-3.031 1.750 5.527
0.000 -3.500 5.527
K Pu Bi O
1 1 2 6
direct
0.000 0.000 0.000
0.469 0.469 0.469
0.262 0.262 0.262
0.782 0.782 0.782
0.090 0.625 0.444
0.224 0.520 0.855
0.444 0.090 0.625
0.520 0.855 0.224
0.625 0.444 0.090
0.855 0.224 0.520
```

***

Record 7
A geometry-optimized SrSc2Cd structure. Source: Alexandria via LeMat-Bulk, functional PBE.

Properties
Energy of formation, eV per formula unit: 0.49
Magnetization, μB/cell: 0.00
VASP energy, eV/atom: -3.691
Space-group type: Cm (8)
ΔE to the lowest computed polymorph, eV per atom: 0.1493
Calculated volume, A^3/atom: 28.260

Geometry as POSCAR:
```
SrSc2Cd
1.0
5.949 -1.780 0.000
5.949 1.780 0.000
-1.929 0.000 5.337
Sr Sc Cd
1 2 1
direct
0.000 0.000 0.000
0.209 0.209 0.644
0.460 0.460 0.478
0.749 0.749 0.169
```

***

Record 8
A geometry-optimized Al3ZnRh structure. Source: Alexandria via LeMat-Bulk, functional PBE.

Properties
Energy of formation, eV per formula unit: -2.27
Magnetization, μB/cell: 0.00
VASP energy, eV/atom: -4.424
Space-group type: P2_1/c (14)
ΔE to the lowest computed polymorph, eV per atom: 0.0000
Calculated volume, A^3/atom: 15.294

Geometry as POSCAR:
```
Al3ZnRh
1.0
5.007 0.000 0.000
0.000 6.885 0.000
-0.112 0.000 8.874
Al Zn Rh
12 4 4
direct
0.016 0.174 0.424
0.016 0.326 0.924
0.246 0.651 0.354
0.246 0.849 0.854
0.262 0.518 0.688
0.262 0.982 0.188
0.738 0.018 0.812
0.738 0.482 0.312
0.754 0.151 0.146
0.754 0.349 0.646
0.984 0.674 0.076
0.984 0.826 0.576
0.490 0.672 0.072
0.490 0.828 0.572
0.510 0.172 0.428
0.510 0.328 0.928
0.229 0.151 0.690
0.229 0.349 0.190
0.771 0.651 0.810
0.771 0.849 0.310
```

***

Record 9
A geometry-optimized Tb6In23Pt12 structure. Source: Alexandria via LeMat-Bulk, functional PBE.

Properties
Energy of formation, eV per formula unit: -25.98
Magnetization, μB/cell: 0.00
VASP energy, eV/atom: -4.615
Space-group type: C2/m (12)
Calculated volume, A^3/atom: 21.583

Geometry as POSCAR:
```
Tb6In23Pt12
1.0
14.225 -2.240 0.000
14.225 2.240 0.000
-5.825 0.000 13.883
Tb In Pt
6 23 12
direct
0.046 0.046 0.196
0.323 0.323 0.422
0.334 0.334 0.967
0.666 0.666 0.033
0.677 0.677 0.578
0.954 0.954 0.804
0.029 0.029 0.676
0.075 0.075 0.005
0.092 0.092 0.450
0.174 0.174 0.219
0.214 0.214 0.934
0.229 0.229 0.746
0.262 0.262 0.583
0.354 0.354 0.219
0.378 0.378 0.672
0.444 0.444 0.437
0.455 0.455 0.166
0.500 0.500 0.000
0.545 0.545 0.834
0.556 0.556 0.563
0.622 0.622 0.328
0.646 0.646 0.781
0.738 0.738 0.417
0.771 0.771 0.254
0.786 0.786 0.066
0.826 0.826 0.781
0.908 0.908 0.550
0.925 0.925 0.995
0.971 0.971 0.324
0.109 0.109 0.859
0.120 0.120 0.649
0.179 0.179 0.410
0.246 0.246 0.135
0.400 0.400 0.865
0.468 0.468 0.640
0.532 0.532 0.360
0.600 0.600 0.135
0.754 0.754 0.865
0.821 0.821 0.590
0.880 0.880 0.351
0.891 0.891 0.141
```

***

Record 10
A geometry-optimized KLaGd2 structure. Source: Alexandria via LeMat-Bulk, functional PBE.

Properties
Energy of formation, eV per formula unit: 0.89
Magnetization, μB/cell: 15.38
VASP energy, eV/atom: -8.324
Space-group type: R-3m (166)
Calculated volume, A^3/atom: 38.952

Geometry as POSCAR:
```
KLaGd2
1.0
1.832 1.058 13.396
-1.832 1.058 13.396
0.000 -2.116 13.396
K La Gd
1 1 2
direct
0.000 0.000 0.000
0.500 0.500 0.500
0.095 0.095 0.095
0.905 0.905 0.905
```

***

Record 11
A geometry-optimized PrEuHoZn structure. Source: Alexandria via LeMat-Bulk, functional PBE.

Properties
Energy of formation, eV per formula unit: 0.28
Magnetization, μB/cell: 7.29
VASP energy, eV/atom: -5.155
Space-group type: F-43m (216)
Calculated volume, A^3/atom: 28.864

Geometry as POSCAR:
```
PrEuHoZn
1.0
0.000 3.865 3.865
3.865 0.000 3.865
3.865 3.865 0.000
Pr Eu Ho Zn
1 1 1 1
direct
0.000 0.000 0.000
0.750 0.750 0.750
0.500 0.500 0.500
0.250 0.250 0.250
```

***

Record 12
A geometry-optimized TbMnPt6 structure. Source: Alexandria via LeMat-Bulk, functional PBE.

Properties
Energy of formation, eV per formula unit: -5.28
Magnetization, μB/cell: 4.25
VASP energy, eV/atom: -6.915
Space-group type: P4/mmm (123)
Calculated volume, A^3/atom: 16.437

Geometry as POSCAR:
```
TbMnPt6
1.0
4.040 0.000 0.000
0.000 4.040 0.000
0.000 0.000 8.058
Tb Mn Pt
1 1 6
direct
0.000 0.000 0.000
0.000 0.000 0.500
0.000 0.500 0.265
0.000 0.500 0.735
0.500 0.000 0.265
0.500 0.000 0.735
0.500 0.500 0.000
0.500 0.500 0.500
```